# Pb2NCl

A PBEsol-optimized structure of Pb2NCl (SCAN, Alexandria).

Cell: 4.8462 4.8462 4.8462 Å, 60.00 60.00 60.00°
Last column: nearest neighbours and their distance in Å.
Atoms (fractional coordinates):
N1 0.0000 0.0000 0.0000  8 Pb 2.97
Cl1 0.5000 0.5000 0.5000  8 Pb 2.97
Pb1 0.2500 0.2500 0.2500  4 Cl 2.97, 4 N 2.97
Pb2 0.7500 0.7500 0.7500  4 Cl 2.97, 4 N 2.97

Properties
- ρ (g/cm³) = 9.6
- size of the total moment (μB/cell) = 0.00
- raw formation energy (kJ/mol of formula units) = 199
- crystal system = cubic